# HfZr3F

HfZr3F after structural relaxation (GGA-PBE, Alexandria).

```
HfZr3F
1.0
5.239 0.000 0.000
0.000 5.239 0.000
0.000 0.000 5.239
Hf Zr F
1 3 1
Cartesian
0.000 0.000 0.000 Hf
0.000 2.619 0.000 Zr
0.000 0.000 2.619 Zr
2.619 0.000 0.000 Zr
2.619 2.619 2.619 F
```

space-group type = Pm-3m, No. 221
formation energy from raw total energies = 1009 meV per atom
final energy = -6.484 eV per atom
D(E_F) = 8.862 states/eV/cell
offset from the most stable computed form = 1.626 eV per atom